Record 1
The following is a PBE-GGA calculation of a relaxed CsPrEr crystal, from the Open Quantum Materials Database.

Cell lengths 5.5906, 5.5906, 5.5906 Å; angles 60.00, 60.00, 60.00 degrees
With the nearest neighbours (Å) after each atom.
Element x y z (fractional)
Cs 0.0000 0.0000 0.0000  4 Er 3.42, 4 Pr 3.42
Er 0.7500 0.7500 0.7500  4 Cs 3.42
Pr 0.2500 0.2500 0.2500  4 Cs 3.42

Properties
Space group: F-43m
Total moment in μB per cell: 0.0
Relative energy among the computed polymorphs in eV/atom: 0.0103
Raw total energy in eV/atom: -2.1933

Record 2
The following is a PBE-GGA calculation of a relaxed Cs2PrErSe4 crystal, from the Open Quantum Materials Database.

Cell lengths 4.3246, 4.3246, 16.7354 Å; angles 90.00, 90.00, 120.00 degrees
With the nearest neighbours (Å) after each atom.
Element x y z (fractional)
Cs 0.6667 0.3333 0.2547  6 Se 3.61
Cs 0.3333 0.6667 0.7453  6 Se 3.61
Er 0.0000 0.0000 0.5000  6 Se 2.91
Pr 0.0000 0.0000 0.0000  6 Se 3.00
Se 0.3333 0.6667 0.0992  3 Pr 3.00
Se 0.3333 0.6667 0.4103  3 Er 2.91
Se 0.6667 0.3333 0.5897  3 Er 2.91
Se 0.6667 0.3333 0.9008  3 Pr 3.00

Properties
Space group: P-3m1
Total moment in μB per cell: 0.0
Raw total energy in eV/atom: -4.8390